Computed, not measured: a geometry-optimized Ac2GaPd5 structure at the GGA-PBE level of DFT.

Output
Its formation energy is -0.755 eV/atom. The calculated density is 9.8 Mg/m³. As for the crystal system: tetragonal. For the density of states at the Fermi level, the calculation gives 0.6380 states/eV/atom.

abc: 6.297 6.297 6.297
angles: 91.27 119.27 119.27
Atoms (fractional coordinates):
1 Ac 0.500 0.243 0.743
2 Ac 0.500 0.743 0.243
3 Ga 0.000 0.980 0.980
4 Pd 0.445 0.719 0.719
5 Pd 0.000 0.719 0.274
6 Pd 0.000 0.274 0.719
7 Pd 0.555 0.274 0.274
8 Pd 0.000 0.270 0.270

***

Computed, not measured: a geometry-optimized SmAlPd3 structure at the GGA-PBE level of DFT.

Output
Its formation energy is -0.744 eV/atom. The calculated density is 8.7 Mg/m³. As for the crystal system: orthorhombic. For the density of states at the Fermi level, the calculation gives 0.3922 states/eV/atom. The energy relative to the lowest polymorph listed for this composition is 0.0108 eV per atom.

abc: 5.571 8.671 6.479
angles: 132.00 115.46 90.00
Atoms (fractional coordinates):
1 Sm 0.250 0.250 0.500
2 Sm 0.750 0.750 0.500
3 Al 0.000 0.500 0.000
4 Al 0.500 0.000 0.000
5 Pd 0.801 0.301 0.101
6 Pd 0.301 0.301 0.101
7 Pd 0.699 0.699 0.899
8 Pd 0.199 0.699 0.899
9 Pd 0.250 0.919 0.500
10 Pd 0.750 0.081 0.500

***

Computed, not measured: a geometry-optimized NpCoSi2 structure at the GGA-PBE level of DFT.

Output
The calculated density is 9.1 Mg/m³. As for the formation energy from raw total energies: -0.429 eV per atom. As for the crystal system: orthorhombic. For the density of states at the Fermi level, the calculation gives 2.2344 states/eV/atom.

abc: 3.928 3.945 8.513
angles: 103.40 90.00 90.00
Last column: magnetic moment on the atom in μB.
Atoms (fractional coordinates):
1 Np 0.000 0.854 0.708  3.42
2 Np 0.000 0.146 0.292  3.42
3 Co 0.500 0.574 0.149  -0.18
4 Co 0.500 0.426 0.851  -0.18
5 Si 0.000 0.500 0.000  -0.01
6 Si 0.500 0.000 0.000  -0.02
7 Si 0.500 0.711 0.421  -0.04
8 Si 0.500 0.289 0.579  -0.04

***

Computed, not measured: a geometry-optimized LaCdIr2 structure at the GGA-PBE level of DFT.

Output
Its formation energy is -0.250 eV/atom. The calculated density is 11.4 Mg/m³. As for the crystal system: monoclinic. For the density of states at the Fermi level, the calculation gives 1.0575 states/eV/atom.

abc: 4.387 4.290 5.389
angles: 66.39 90.00 90.00
Atoms (fractional coordinates):
1 Cd 0.500 0.776 0.822
2 Ir 0.000 0.181 0.016
3 Ir 0.500 0.068 0.239
4 La 0.000 0.475 0.423

***

Computed, not measured: a geometry-optimized Ce8Tc3Ru2 structure at the GGA-PBE level of DFT.

Output
Its formation energy is -0.059 eV/atom. The calculated density is 8.1 Mg/m³. As for the crystal system: monoclinic. For the density of states at the Fermi level, the calculation gives 1.8386 states/eV/atom.

abc: 6.439 7.783 8.547
angles: 117.09 116.03 90.00
Last column: magnetic moment on the atom in μB.
Atoms (fractional coordinates):
1 Ce 0.034 0.653 0.306  0.37
2 Ce 0.966 0.347 0.694  0.37
3 Ce 0.980 0.112 0.225  0.09
4 Ce 0.020 0.888 0.775  0.09
5 Ce 0.519 0.625 0.764  0.09
6 Ce 0.519 0.140 0.764  0.09
7 Ce 0.481 0.860 0.236  0.09
8 Ce 0.481 0.375 0.236  0.09
9 Tc 0.500 0.000 0.000  -0.02
10 Tc 0.000 0.313 0.000  -0.06
11 Tc 0.000 0.687 0.000  -0.06
12 Ru 0.428 0.249 0.498  -0.02
13 Ru 0.572 0.751 0.502  -0.02

***

Computed, not measured: a geometry-optimized PuSO structure at the GGA-PBE level of DFT.

Output
The calculated density is 7.8 Mg/m³. As for the formation energy from raw total energies: -2.244 eV per atom. As for the crystal system: trigonal. For the density of states at the Fermi level, the calculation gives 1.4445 states/eV/atom.

abc: 3.827 3.827 9.993
angles: 78.96 78.96 60.00
Last column: magnetic moment on the atom in μB.
Atoms (fractional coordinates):
1 Pu 0.719 0.719 0.842  4.40
2 Pu 0.281 0.281 0.158  4.40
3 S 0.105 0.105 0.686  -0.23
4 S 0.895 0.895 0.314  -0.23
5 O 0.639 0.639 0.084  -0.16
6 O 0.361 0.361 0.916  -0.16

***

Computed, not measured: a geometry-optimized HfGa6Fe6 structure at the GGA-PBE level of DFT.

Output
Its formation energy is -0.281 eV/atom. The calculated density is 8.7 Mg/m³. As for the crystal system: orthorhombic. For the density of states at the Fermi level, the calculation gives 0.6330 states/eV/atom.

abc: 6.486 6.486 6.486
angles: 134.90 99.45 97.47
Last column: magnetic moment on the atom in μB.
Atoms (fractional coordinates):
1 Hf 0.000 0.000 0.000  -0.15
2 Ga 0.668 0.000 0.668  -0.05
3 Ga 0.332 0.000 0.332  -0.05
4 Ga 0.659 0.659 0.000  -0.07
5 Ga 0.341 0.341 0.000  -0.07
6 Ga 0.177 0.677 0.500  -0.07
7 Ga 0.823 0.323 0.500  -0.07
8 Fe 0.242 0.500 0.742  1.90
9 Fe 0.758 0.500 0.258  1.90
10 Fe 0.500 0.500 0.500  1.89
11 Fe 0.500 0.000 0.000  1.89
12 Fe 0.000 0.500 0.000  1.89
13 Fe 0.000 0.000 0.500  1.89

***

Question: Which value of calculated density does entry 1 give?
Answer: 9.8 Mg/m³

***

Question: What is the calculated density in the seventh record?
Answer: 8.7 Mg/m³

***

Question: Which formula does entry 1 have?
Answer: Ac2GaPd5